(1)
This record from Alexandria describes FeIrOs2 after structural relaxation. The functional is PBE.

```
FeIrOs2
1.0
1.355 0.782 8.719
-1.355 0.782 8.719
0.000 -1.565 8.719
Fe Ir Os
1 1 2
Cartesian
0.000 0.000 0.000
0.000 0.000 13.079
0.000 0.000 6.604
0.000 0.000 19.553
```

**Total magnetic moment**: 0.59 μB/atom
**VASP energy**: -39.3 eV per formula unit
**Density of states at the Fermi level**: 4.15 states/eV/f.u.
**Calculated formation energy**: 131 meV per atom



(2)
This record from Alexandria describes FeIrOs2 after structural relaxation. The functional is PBE.

```
FeIrOs2
1.0
2.683 0.000 0.000
0.000 2.683 0.000
0.000 0.000 7.492
Fe Ir Os
1 1 2
Cartesian
0.000 0.000 0.000
0.000 0.000 3.746
1.341 1.341 1.772
1.341 1.341 5.720
```

**Total magnetic moment**: 0.07 μB/atom
**VASP energy**: -39.3 eV per formula unit
**Density of states at the Fermi level**: 4.39 states/eV/f.u.
**Calculated formation energy**: 127 meV per atom



(3)
This record from Alexandria describes FeIr2Os after structural relaxation. The functional is PBE.

```
FeIr2Os
1.0
2.724 0.000 0.000
0.000 2.724 0.000
0.000 0.000 7.514
Fe Ir Os
1 2 1
Cartesian
0.000 0.000 0.000
1.362 1.362 1.856
1.362 1.362 5.659
0.000 0.000 3.757
```

**Total magnetic moment**: 0.70 μB/atom
**VASP energy**: -37.5 eV per formula unit
**Density of states at the Fermi level**: 3.64 states/eV/f.u.
**Calculated formation energy**: -14 meV per atom



What did the second record say?
This record from Alexandria describes FeIrOs2 after structural relaxation. The functional is PBE.

```
FeIrOs2
1.0
2.683 0.000 0.000
0.000 2.683 0.000
0.000 0.000 7.492
Fe Ir Os
1 1 2
Cartesian
0.000 0.000 0.000
0.000 0.000 3.746
1.341 1.341 1.772
1.341 1.341 5.720
```

**Total magnetic moment**: 0.07 μB/atom
**VASP energy**: -39.3 eV per formula unit
**Density of states at the Fermi level**: 4.39 states/eV/f.u.
**Calculated formation energy**: 127 meV per atom